Entry 1:
Density functional theory data (PBE) for a geometry-optimized Cu3Ag2 structure.

Values from the calculation:
Its crystal system is triclinic. For the distance to the lowest polymorph of the same formula, the calculation gives 57 meV/atom. The total energy comes out at -3.26 eV per atom.

Cell: 4.710 4.728 7.194 Å, 71.22 71.03 80.82°
Sites, in units of the cell vectors:
Cu 0.992 0.019 0.987
Cu 0.008 0.585 0.800
Cu 0.993 0.203 0.611
Cu 0.512 0.304 0.892
Cu 0.493 0.489 0.509
Cu 0.501 0.103 0.300
Ag 0.007 0.391 0.196
Ag 0.509 0.711 0.097
Ag 0.485 0.905 0.698
Ag 0.000 0.791 0.410



Entry 2:
Density functional theory data (PBE) for a geometry-optimized Cu7Ag2 structure.

Values from the calculation:
Its crystal system is monoclinic. For the distance to the lowest polymorph of the same formula, the calculation gives 32 meV/atom. The total energy comes out at -3.44 eV per atom.

Cell: 4.582 4.582 10.904 Å, 111.93 111.93 34.25°
Sites, in units of the cell vectors:
Ag 0.942 0.942 0.774
Ag 0.058 0.058 0.226
Cu 0.843 0.843 0.340
Cu 0.384 0.384 0.545
Cu 0.500 0.500 0.000
Cu 0.270 0.270 0.105
Cu 0.157 0.157 0.660
Cu 0.616 0.616 0.455
Cu 0.730 0.730 0.895



Entry 3:
Density functional theory data (PBE) for a geometry-optimized CuAg2 structure.

Values from the calculation:
Its crystal system is trigonal. For the distance to the lowest polymorph of the same formula, the calculation gives 46 meV/atom. The total energy comes out at -3.04 eV per atom.

Cell: 2.854 2.854 20.481 Å, 90.00 90.00 120.00°
Sites, in units of the cell vectors:
Ag 0.000 0.000 0.215
Ag 0.333 0.667 0.096
Ag 0.667 0.333 0.335
Ag 0.333 0.667 0.454
Ag 0.333 0.667 0.788
Ag 0.667 0.333 0.667
Cu 0.667 0.333 0.989
Cu 0.000 0.000 0.561
Cu 0.000 0.000 0.895



Entry 4:
Density functional theory data (PBE) for a geometry-optimized Cu6Ag structure.

Values from the calculation:
Its crystal system is monoclinic. For the distance to the lowest polymorph of the same formula, the calculation gives 9 meV/atom. The total energy comes out at -3.53 eV per atom.

Cell: 4.519 4.519 7.747 Å, 94.23 94.23 34.24°
Sites, in units of the cell vectors:
Cu 0.645 0.645 0.571
Cu 0.780 0.780 0.157
Cu 0.070 0.070 0.302
Cu 0.355 0.355 0.429
Cu 0.930 0.930 0.698
Cu 0.220 0.220 0.843
Ag 0.500 0.500 0.000



Entry 5:
Density functional theory data (PBE) for a geometry-optimized Cu4Ag3 structure.

Values from the calculation:
Its crystal system is monoclinic. For the distance to the lowest polymorph of the same formula, the calculation gives 42 meV/atom. The total energy comes out at -3.24 eV per atom.

Cell: 4.877 4.877 7.705 Å, 90.46 90.46 33.53°
Sites, in units of the cell vectors:
Cu 0.088 0.088 0.282
Cu 0.223 0.223 0.868
Cu 0.912 0.912 0.718
Cu 0.777 0.777 0.132
Ag 0.365 0.365 0.413
Ag 0.500 0.500 0.000
Ag 0.635 0.635 0.587



Entry 6:
Density functional theory data (PBE) for a geometry-optimized CuAg structure.

Values from the calculation:
Its crystal system is orthorhombic. The total energy comes out at -3.18 eV per atom.

Cell: 2.821 3.707 11.387 Å, 90.00 90.00 90.00°
Sites, in units of the cell vectors:
Ag 0.500 0.500 0.178
Ag 0.000 0.000 0.572
Ag 0.500 0.500 0.428
Ag 0.000 0.000 0.822
Cu 0.500 0.500 0.698
Cu 0.000 0.000 0.302
Cu 0.000 0.000 0.055
Cu 0.500 0.500 0.945



Entry 7:
Density functional theory data (PBE) for a geometry-optimized CuAg structure.

Values from the calculation:
Its crystal system is monoclinic. The total energy comes out at -3.18 eV per atom.

Cell: 6.775 2.816 8.041 Å, 90.00 103.17 90.00°
Sites, in units of the cell vectors:
Ag 0.200 0.000 0.608
Ag 0.791 0.000 0.413
Ag 0.096 0.500 0.285
Ag 0.601 0.000 0.805
Ag 0.413 0.000 0.189
Cu 0.717 0.500 0.095
Cu 0.283 0.500 0.901
Cu 0.905 0.500 0.715
Cu 0.999 0.000 0.987
Cu 0.495 0.500 0.502



Entry 8:
Density functional theory data (PBE) for a geometry-optimized Cu2Ag5 structure.

Values from the calculation:
Its crystal system is monoclinic. For the distance to the lowest polymorph of the same formula, the calculation gives 40 meV/atom. The total energy comes out at -3.00 eV per atom.

Cell: 4.927 4.927 8.410 Å, 94.44 94.44 33.81°
Sites, in units of the cell vectors:
Cu 0.785 0.785 0.127
Cu 0.215 0.215 0.873
Ag 0.642 0.642 0.585
Ag 0.080 0.080 0.280
Ag 0.500 0.500 0.000
Ag 0.920 0.920 0.720
Ag 0.358 0.358 0.415



Entry 9:
Density functional theory data (PBE) for a geometry-optimized Cu4Ag3 structure.

Values from the calculation:
Its crystal system is tetragonal. For the distance to the lowest polymorph of the same formula, the calculation gives 0 meV/atom. The total energy comes out at -3.29 eV per atom.

Cell: 12.913 12.913 12.913 Å, 167.51 167.51 17.71°
Sites, in units of the cell vectors:
Ag 0.415 0.415 0.000
Ag 0.000 0.000 0.000
Ag 0.585 0.585 0.000
Cu 0.720 0.720 0.000
Cu 0.280 0.280 0.000
Cu 0.159 0.159 0.000
Cu 0.841 0.841 0.000



Entry 10:
Density functional theory data (PBE) for a geometry-optimized CuAg structure.

Values from the calculation:
Its crystal system is monoclinic. The total energy comes out at -3.17 eV per atom.

Cell: 11.436 11.436 4.672 Å, 97.34 97.34 14.26°
Sites, in units of the cell vectors:
Ag 0.802 0.802 0.615
Ag 0.198 0.198 0.385
Ag 0.899 0.899 0.298
Ag 0.101 0.101 0.702
Ag 0.000 0.000 0.000
Cu 0.401 0.401 0.800
Cu 0.599 0.599 0.200
Cu 0.297 0.297 0.099
Cu 0.500 0.500 0.500
Cu 0.703 0.703 0.901



Entry 11:
Density functional theory data (PBE) for a geometry-optimized Cu5Ag3 structure.

Values from the calculation:
Its crystal system is monoclinic. For the distance to the lowest polymorph of the same formula, the calculation gives 49 meV/atom. The total energy comes out at -3.29 eV per atom.

Cell: 4.642 4.642 7.719 Å, 114.49 114.49 49.84°
Sites, in units of the cell vectors:
Cu 0.252 0.252 0.617
Cu 0.500 0.500 0.500
Cu 0.250 0.250 0.137
Cu 0.750 0.750 0.863
Cu 0.748 0.748 0.383
Ag 0.993 0.993 0.257
Ag 0.007 0.007 0.743
Ag 0.500 0.500 0.000



Entry 12:
Density functional theory data (PBE) for a geometry-optimized CuAg structure.

Values from the calculation:
Its crystal system is monoclinic. The total energy comes out at -3.17 eV per atom.

Cell: 4.873 4.873 8.830 Å, 90.64 90.64 45.51°
Sites, in units of the cell vectors:
Cu 0.207 0.207 0.910
Cu 0.896 0.896 0.811
Cu 0.104 0.104 0.189
Cu 0.793 0.793 0.090
Cu 0.000 0.000 0.500
Ag 0.602 0.602 0.708
Ag 0.308 0.308 0.607
Ag 0.398 0.398 0.292
Ag 0.692 0.692 0.393
Ag 0.500 0.500 0.000



Entry 13:
Density functional theory data (PBE) for a geometry-optimized Cu3Ag2 structure.

Values from the calculation:
Its crystal system is monoclinic. For the distance to the lowest polymorph of the same formula, the calculation gives 63 meV/atom. The total energy comes out at -3.25 eV per atom.

Cell: 7.182 7.182 4.760 Å, 96.57 96.57 141.49°
Sites, in units of the cell vectors:
Cu 0.408 0.592 0.500
Cu 0.305 0.695 0.000
Cu 0.000 0.000 0.500
Cu 0.592 0.408 0.500
Cu 0.500 0.500 0.000
Cu 0.695 0.305 0.000
Ag 0.899 0.101 0.000
Ag 0.201 0.799 0.500
Ag 0.799 0.201 0.500
Ag 0.101 0.899 0.000



Entry 14:
Density functional theory data (PBE) for a geometry-optimized Cu3Ag2 structure.

Values from the calculation:
Its crystal system is tetragonal. For the distance to the lowest polymorph of the same formula, the calculation gives 47 meV/atom. The total energy comes out at -3.27 eV per atom.

Cell: 2.809 2.809 18.112 Å, 90.00 90.00 90.00°
Sites, in units of the cell vectors:
Cu 0.000 0.000 0.311
Cu 0.000 0.000 0.897
Cu 0.000 0.000 0.103
Cu 0.500 0.500 0.605
Cu 0.000 0.000 0.689
Cu 0.500 0.500 0.395
Ag 0.500 0.500 0.207
Ag 0.000 0.000 0.500
Ag 0.500 0.500 0.000
Ag 0.500 0.500 0.793



Entry 15:
Density functional theory data (PBE) for a geometry-optimized Cu3Ag2 structure.

Values from the calculation:
Its crystal system is monoclinic. For the distance to the lowest polymorph of the same formula, the calculation gives 42 meV/atom. The total energy comes out at -3.28 eV per atom.

Cell: 4.727 4.727 11.617 Å, 100.06 100.06 33.92°
Sites, in units of the cell vectors:
Ag 0.599 0.599 0.197
Ag 0.802 0.802 0.607
Ag 0.896 0.896 0.317
Ag 0.303 0.303 0.079
Cu 0.007 0.007 0.980
Cu 0.095 0.095 0.706
Cu 0.510 0.510 0.514
Cu 0.191 0.191 0.411
Cu 0.401 0.401 0.805
Cu 0.696 0.696 0.883



Entry 16:
Density functional theory data (PBE) for a geometry-optimized Cu3Ag5 structure.

Values from the calculation:
Its crystal system is orthorhombic. For the distance to the lowest polymorph of the same formula, the calculation gives 34 meV/atom. The total energy comes out at -3.09 eV per atom.

Cell: 2.858 3.764 11.709 Å, 90.00 90.00 90.00°
Sites, in units of the cell vectors:
Ag 0.000 0.000 0.638
Ag 0.500 0.500 0.775
Ag 0.000 0.000 0.362
Ag 0.500 0.500 0.225
Ag 0.500 0.500 0.500
Cu 0.000 0.000 0.105
Cu 0.500 0.500 0.000
Cu 0.000 0.000 0.895



Entry 17:
Density functional theory data (PBE) for a geometry-optimized CuAg structure.

Values from the calculation:
Its crystal system is tetragonal. The total energy comes out at -3.20 eV per atom.

Cell: 2.843 2.843 18.400 Å, 90.00 90.00 90.00°
Sites, in units of the cell vectors:
Ag 0.500 0.500 0.196
Ag 0.000 0.000 0.079
Ag 0.000 0.000 0.313
Ag 0.000 0.000 0.514
Ag 0.500 0.500 0.797
Cu 0.500 0.500 0.979
Cu 0.500 0.500 0.413
Cu 0.500 0.500 0.614
Cu 0.000 0.000 0.898
Cu 0.000 0.000 0.696



Entry 18:
Density functional theory data (PBE) for a geometry-optimized Cu3Ag5 structure.

Values from the calculation:
Its crystal system is orthorhombic. For the distance to the lowest polymorph of the same formula, the calculation gives 53 meV/atom. The total energy comes out at -3.07 eV per atom.

Cell: 6.889 6.328 4.838 Å, 74.86 62.46 42.68°
Sites, in units of the cell vectors:
Cu 0.997 0.997 0.503
Cu 0.380 0.380 0.620
Cu 0.497 0.497 0.003
Ag 0.254 0.254 0.246
Ag 0.754 0.754 0.746
Ag 0.882 0.882 0.118
Ag 0.612 0.612 0.388
Ag 0.124 0.124 0.876



Entry 19:
Density functional theory data (PBE) for a geometry-optimized CuAg structure.

Values from the calculation:
Its crystal system is monoclinic. The total energy comes out at -3.17 eV per atom.

Cell: 4.754 2.821 11.244 Å, 90.00 95.70 90.00°
Sites, in units of the cell vectors:
Cu 0.990 0.500 0.986
Cu 0.096 0.000 0.807
Cu 0.299 0.000 0.392
Cu 0.606 0.500 0.808
Cu 0.404 0.500 0.205
Ag 0.795 0.500 0.397
Ag 0.703 0.000 0.612
Ag 0.483 0.000 0.000
Ag 0.918 0.000 0.188
Ag 0.205 0.500 0.604



Entry 20:
Density functional theory data (PBE) for a geometry-optimized Cu2Ag7 structure.

Values from the calculation:
Its crystal system is monoclinic. For the distance to the lowest polymorph of the same formula, the calculation gives 31 meV/atom. The total energy comes out at -2.97 eV per atom.

Cell: 4.999 4.999 11.807 Å, 112.27 112.27 33.75°
Sites, in units of the cell vectors:
Ag 0.961 0.961 0.286
Ag 0.500 0.500 0.500
Ag 0.609 0.609 0.945
Ag 0.039 0.039 0.714
Ag 0.820 0.820 0.817
Ag 0.391 0.391 0.055
Ag 0.180 0.180 0.183
Cu 0.270 0.270 0.597
Cu 0.730 0.730 0.403



| no. | V (Å³/cell) | formation enthalpy at 0 K (eV per atom) |
| --- | --- | --- |
| 1 | 143.2 | 0.099 |
| 2 | 118.6 | 0.079 |
| 3 | 144.4 | 0.077 |
| 4 | 88.8 | 0.055 |
| 5 | 101.2 | 0.091 |
| 6 | 119.1 | 0.095 |
| 7 | 149.4 | 0.093 |
| 8 | 113.3 | 0.075 |
| 9 | 100.8 | 0.049 |
| 10 | 149.2 | 0.099 |
| 11 | 113.1 | 0.096 |
| 12 | 149.6 | 0.098 |
| 13 | 143.4 | 0.105 |
| 14 | 142.9 | 0.089 |
| 15 | 142.4 | 0.084 |
| 16 | 125.9 | 0.071 |
| 17 | 148.7 | 0.071 |
| 18 | 125.7 | 0.090 |
| 19 | 150.1 | 0.104 |
| 20 | 150.5 | 0.057 |